## ErPt2 (PBE)

Data for crystalline ErPt2 at its relaxed geometry. Values from VASP.

Quantum ESPRESSO input file:
```
&SYSTEM
  ibrav = 0, nat = 6, ntyp = 2
/
ATOMIC_SPECIES
Pt 195.08 Pt.upf
Er 167.26 Er.upf
CELL_PARAMETERS angstrom
4.4415 0.0000 0.0000
-2.2207 3.8464 0.0000
0.0000 0.0000 7.2180
ATOMIC_POSITIONS angstrom
Pt 2.2207 1.2821 7.2179
Pt 2.2207 1.2821 3.6091
Er 0.0000 0.0000 1.8045
Pt 0.0000 2.5643 0.0001
Pt 0.0000 2.5643 3.6089
Er 0.0000 0.0000 5.4135
```

Summary:
SG: No. 191
DOS(E_F), states/eV per cell: 6.992
Raw total energy, eV per atom: -6.52
Formation energy from the elements, kJ/mol of atoms: -93.8

=====

## Ca2YAg (PBE)

Data for crystalline Ca2YAg at its relaxed geometry. Values from VASP.

Quantum ESPRESSO input file:
```
&SYSTEM
  ibrav = 0, nat = 4, ntyp = 3
/
ATOMIC_SPECIES
Ag 107.87 Ag.upf
Ca 40.08 Ca.upf
Y 88.91 Y.upf
CELL_PARAMETERS angstrom
-5.5593 2.6663 -1.2441
-3.3252 -2.9074 -4.4780
2.9705 -1.8432 5.2288
ATOMIC_POSITIONS angstrom
Ag -3.5155 0.3513 0.5619
Ca 0.0000 0.0000 0.0000
Y -4.4422 -0.1206 -2.8610
Ca -2.3985 -2.4356 -1.0551
```

Summary:
Energy above the lowest structure with this stoichiometry, kJ/mol of formula units: 80.2
SG: No. 119
DOS(E_F), states/eV per cell: 5.782
Raw total energy, eV per atom: -3.24
Formation energy from the elements, kJ/mol of atoms: 8.6

=====

## NaHfFe2Si (PBE)

Data for crystalline NaHfFe2Si at its relaxed geometry. Values from VASP.

Quantum ESPRESSO input file:
```
&SYSTEM
  ibrav = 0, nat = 5, ntyp = 4
/
ATOMIC_SPECIES
Fe 55.84 Fe.upf
Si 28.09 Si.upf
Na 22.99 Na.upf
Hf 178.49 Hf.upf
CELL_PARAMETERS angstrom
-3.0798 -1.4582 -3.3170
-1.7212 -3.6528 3.2040
-3.2569 3.0219 1.6956
ATOMIC_POSITIONS angstrom
Fe -1.5399 -0.7291 -1.6585
Si -0.8606 -1.8264 1.6020
Na -4.0290 -1.0445 0.7912
Hf 0.0000 0.0000 0.0000
Fe -1.6285 1.5110 0.8478
```

Summary:
ΔE_f (raw), eV per atom: 1.135
SG: No. 123
DOS(E_F), states/eV per cell: 6.481
Raw total energy, eV per atom: -5.59

=====

> Look up the DOS(E_F) of the third one.

6.481 states/eV per cell